Record 1
# NaMn2MoO8

NaMn2MoO8 after structural relaxation (PBE with a Hubbard U, the Alexandria database).

Properties
DFT total energy   -6.5129 eV per atom
Symmetry   Cmmm, No. 65
Magnetic moment   5.0 μB per formula unit

The structure in CIF format:
```
data_NaMn2MoO8
_chemical_formula_sum 'Na1 Mn2 Mo1 O8'
_symmetry_space_group_name_H-M 'P 1'
_symmetry_Int_Tables_number 1
_cell_length_a 4.6764
_cell_length_b 4.6764
_cell_length_c 6.1160
_cell_angle_alpha 90.00
_cell_angle_beta 90.00
_cell_angle_gamma 91.93
loop_
_symmetry_equiv_pos_as_xyz
'x,y,z'
loop_
_atom_site_label
_atom_site_fract_x
_atom_site_fract_y
_atom_site_fract_z
Na1 0.0000 0.0000 0.0000
Mn1 0.5000 0.5000 0.2473
Mn2 0.5000 0.5000 0.7527
Mo1 0.0000 0.0000 0.5000
O1 0.2078 0.2078 0.2817
O2 0.2078 0.2078 0.7183
O3 0.3048 0.6952 0.5000
O4 0.3285 0.6715 0.0000
O5 0.6715 0.3285 0.0000
O6 0.6952 0.3048 0.5000
O7 0.7922 0.7922 0.2817
O8 0.7922 0.7922 0.7183
```

Record 2
# Na3MnMo2O8

Na3MnMo2O8 after structural relaxation (PBE with a Hubbard U, the Alexandria database).

Properties
DFT total energy   -6.2957 eV per atom
Symmetry   P-3m1, No. 164
Magnetic moment   6.0 μB per formula unit

The structure in CIF format:
```
data_Na3MnMo2O8
_chemical_formula_sum 'Na3 Mn1 Mo2 O8'
_symmetry_space_group_name_H-M 'P 1'
_symmetry_Int_Tables_number 1
_cell_length_a 5.8556
_cell_length_b 5.8556
_cell_length_c 7.0896
_cell_angle_alpha 90.00
_cell_angle_beta 90.00
_cell_angle_gamma 120.00
loop_
_symmetry_equiv_pos_as_xyz
'x,y,z'
loop_
_atom_site_label
_atom_site_fract_x
_atom_site_fract_y
_atom_site_fract_z
Na1 0.0000 0.0000 0.0000
Na2 0.3333 0.6667 0.6455
Na3 0.6667 0.3333 0.3545
Mn1 0.0000 0.0000 0.5000
Mo1 0.3333 0.6667 0.2065
Mo2 0.6667 0.3333 0.7935
O1 0.1668 0.3337 0.3105
O2 0.1668 0.8332 0.3105
O3 0.3333 0.6667 0.9535
O4 0.3337 0.1668 0.6895
O5 0.6663 0.8332 0.3105
O6 0.6667 0.3333 0.0465
O7 0.8332 0.1668 0.6895
O8 0.8332 0.6663 0.6895
```

Record 3
# NaMnMoO4

NaMnMoO4 after structural relaxation (PBE with a Hubbard U, the Alexandria database).

Properties
DFT total energy   -6.7290 eV per atom
Symmetry   Imma, No. 74
Magnetic moment   6.0 μB per formula unit

The structure in CIF format:
```
data_NaMnMoO4
_chemical_formula_sum 'Na2 Mn2 Mo2 O8'
_symmetry_space_group_name_H-M 'P 1'
_symmetry_Int_Tables_number 1
_cell_length_a 6.2814
_cell_length_b 6.2814
_cell_length_c 6.2814
_cell_angle_alpha 117.99
_cell_angle_beta 117.58
_cell_angle_gamma 93.89
loop_
_symmetry_equiv_pos_as_xyz
'x,y,z'
loop_
_atom_site_label
_atom_site_fract_x
_atom_site_fract_y
_atom_site_fract_z
Na1 0.3711 0.1211 0.2500
Na2 0.6289 0.8789 0.7500
Mn1 0.0000 0.0000 0.5000
Mn2 0.0000 0.5000 0.0000
Mo1 0.0000 0.5000 0.5000
Mo2 0.5000 0.5000 0.0000
O1 0.2002 0.7345 0.4657
O2 0.2311 0.2655 0.9657
O3 0.2307 0.2696 0.5389
O4 0.2307 0.6918 0.9611
O5 0.7693 0.3082 0.0389
O6 0.7693 0.7304 0.4611
O7 0.7689 0.7345 0.0343
O8 0.7998 0.2655 0.5343
```

Number 1: density of states at the Fermi level 0.435 states/eV per atom. Number 2: density of states at the Fermi level 0.522 states/eV per atom. Number 3: density of states at the Fermi level 0.218 states/eV per atom.